NaTiSi3 (GGA-PBE, optimized geometry); raw formation energy = 1.531 eV/atom; relative energy among the computed polymorphs = 1250.6 meV/atom; VASP energy = -3.566 eV per atom; space-group type = Pm-3m, No. 221
1.0
4.7201 0.0000 0.0000
0.0000 4.7201 0.0000
0.0000 0.0000 4.7201
Na Ti Si
1 1 3
Direct
0.0000 0.0000 0.0000
0.5000 0.5000 0.5000
0.0000 0.0000 0.5000
0.0000 0.5000 0.0000
0.5000 0.0000 0.0000